Density functional theory data (PBE) for crystalline ZrTe3Br at its relaxed geometry.

SG = Pm-3m
E_form (uncorrected) = -0.67 eV per formula unit
Total magnetic moment = 0.000 μB per formula unit

a = 5.580 Å, b = 5.580 Å, c = 5.580 Å
α = 90.00°, β = 90.00°, γ = 90.00°
Fractional coordinates of all 5 atoms:
Br (0.500, 0.500, 0.500)
Te (0.500, 0.000, 0.000)
Te (0.000, 0.500, 0.000)
Te (0.000, 0.000, 0.500)
Zr (0.000, 0.000, 0.000)



Density functional theory data (PBE) for crystalline Tl2P2I at its relaxed geometry.

SG = I4/mmm
E_form (uncorrected) = 0.16 eV per formula unit
Total magnetic moment = 0.000 μB per formula unit

a = 3.591 Å, b = 3.591 Å, c = 10.909 Å
α = 80.53°, β = 80.53°, γ = 90.00°
Fractional coordinates of all 5 atoms:
P (0.250, 0.750, 0.500)
Tl (0.382, 0.382, 0.237)
P (0.750, 0.250, 0.500)
Tl (0.618, 0.618, 0.763)
I (0.000, 0.000, 0.000)



Density functional theory data (PBE) for crystalline Ba4SnIr at its relaxed geometry.

E_form = -308 meV/atom
SG = C2/c
Total magnetic moment = 0.000 μB per formula unit

a = 6.879 Å, b = 9.028 Å, c = 9.028 Å
α = 113.61°, β = 100.99°, γ = 100.99°
Fractional coordinates of all 12 atoms:
Ba (0.873, 0.640, 0.781)
Ba (0.127, 0.360, 0.219)
Ir (0.250, 0.000, 0.000)
Sn (0.250, 0.371, 0.629)
Ba (0.448, 0.724, 0.053)
Ba (0.948, 0.053, 0.724)
Ba (0.552, 0.276, 0.947)
Ir (0.750, 0.000, 0.000)
Ba (0.627, 0.219, 0.360)
Ba (0.052, 0.947, 0.276)
Ba (0.373, 0.781, 0.640)
Sn (0.750, 0.629, 0.371)



no.,DOS(E_F) (states/eV/cell),DFT total energy (eV/atom)
1,8.39,-4.064
2,1.39,-3.387
3,8.99,-3.734